An optimized crystal structure of K3DyP2O8, computed with PBE-GGA.

## Properties
- D(E_F): 0.00 states/eV/atom
- E_form (uncorrected): -2.5854 eV per atom
- Energy: -94.575 eV per formula unit

The structure in CIF format:
```
data_K3DyP2O8
_chemical_formula_sum 'K3 Dy1 P2 O8'
_cell_length_a 5.7019
_cell_length_b 5.7019
_cell_length_c 7.7880
_cell_angle_alpha 90.00
_cell_angle_beta 90.00
_cell_angle_gamma 120.00
_space_group_name_H-M_alt 'P 1'
_space_group_IT_number 1
loop_
_space_group_symop_operation_xyz
'x,y,z'
loop_
_atom_site_label
_atom_site_type_symbol
_atom_site_fract_x
_atom_site_fract_y
_atom_site_fract_z
_atom_site_occupancy
K1 K 0.0000 0.0000 0.0000 1
K2 K 0.3333 0.6667 0.7329 1
K3 K 0.6667 0.3333 0.2671 1
Dy1 Dy 0.0000 0.0000 0.5000 1
P1 P 0.3333 0.6667 0.2584 1
P2 P 0.6667 0.3333 0.7416 1
O1 O 0.1849 0.3698 0.3307 1
O2 O 0.1849 0.8151 0.3307 1
O3 O 0.3333 0.6667 0.0636 1
O4 O 0.3698 0.1849 0.6693 1
O5 O 0.6302 0.8151 0.3307 1
O6 O 0.6667 0.3333 0.9364 1
O7 O 0.8151 0.1849 0.6693 1
O8 O 0.8151 0.6302 0.6693 1
```

An optimized crystal structure of Li2NdH8Ir, computed with PBE-GGA.

## Properties
- D(E_F): 0.00 states/eV/atom
- Energy: -50.005 eV per formula unit

The structure in CIF format:
```
data_Li2NdH8Ir
_chemical_formula_sum 'Li2 Nd1 H8 Ir1'
_cell_length_a 4.4685
_cell_length_b 4.4685
_cell_length_c 6.1827
_cell_angle_alpha 90.00
_cell_angle_beta 90.00
_cell_angle_gamma 120.00
_space_group_name_H-M_alt 'P 1'
_space_group_IT_number 1
loop_
_space_group_symop_operation_xyz
'x,y,z'
loop_
_atom_site_label
_atom_site_type_symbol
_atom_site_fract_x
_atom_site_fract_y
_atom_site_fract_z
_atom_site_occupancy
Li1 Li 0.3333 0.6667 0.1226 1
Li2 Li 0.6667 0.3333 0.8774 1
Nd1 Nd 0.0000 0.0000 0.5000 1
H1 H 0.1732 0.3465 0.8380 1
H2 H 0.1732 0.8268 0.8380 1
H3 H 0.3333 0.6667 0.4506 1
H4 H 0.3465 0.1732 0.1620 1
H5 H 0.6535 0.8268 0.8380 1
H6 H 0.6667 0.3333 0.5494 1
H7 H 0.8268 0.1732 0.1620 1
H8 H 0.8268 0.6535 0.1620 1
Ir1 Ir 0.0000 0.0000 0.0000 1
```

An optimized crystal structure of KTlIn2I6, computed with PBE-GGA.

## Properties
- E_form (uncorrected): -0.6978 eV per atom
- Energy: -25.220 eV per formula unit

The structure in CIF format:
```
data_KTlIn2I6
_chemical_formula_sum 'K1 Tl1 In2 I6'
_cell_length_a 8.7968
_cell_length_b 8.7968
_cell_length_c 8.7968
_cell_angle_alpha 57.90
_cell_angle_beta 57.90
_cell_angle_gamma 57.90
_space_group_name_H-M_alt 'P 1'
_space_group_IT_number 1
loop_
_space_group_symop_operation_xyz
'x,y,z'
loop_
_atom_site_label
_atom_site_type_symbol
_atom_site_fract_x
_atom_site_fract_y
_atom_site_fract_z
_atom_site_occupancy
K1 K 0.0000 0.0000 0.0000 1
Tl1 Tl 0.4869 0.4869 0.4869 1
In1 In 0.2843 0.2843 0.2843 1
In2 In 0.7910 0.7910 0.7910 1
I1 I 0.0290 0.6525 0.4615 1
I2 I 0.1280 0.5694 0.9210 1
I3 I 0.4615 0.0290 0.6525 1
I4 I 0.5694 0.9210 0.1280 1
I5 I 0.6525 0.4615 0.0290 1
I6 I 0.9210 0.1280 0.5694 1
```

An optimized crystal structure of DyZrHg6, computed with PBE-GGA.

## Properties
- Calculated formation energy: -16.7 kJ per mole of atoms
- D(E_F): 0.90 states/eV/atom
- Energy: -16.342 eV per formula unit

The structure in CIF format:
```
data_DyZrHg6
_chemical_formula_sum 'Dy1 Zr1 Hg6'
_cell_length_a 4.6750
_cell_length_b 4.6750
_cell_length_c 8.5095
_cell_angle_alpha 90.00
_cell_angle_beta 90.00
_cell_angle_gamma 90.00
_space_group_name_H-M_alt 'P 1'
_space_group_IT_number 1
loop_
_space_group_symop_operation_xyz
'x,y,z'
loop_
_atom_site_label
_atom_site_type_symbol
_atom_site_fract_x
_atom_site_fract_y
_atom_site_fract_z
_atom_site_occupancy
Dy1 Dy 0.0000 0.0000 0.0000 1
Zr1 Zr 0.0000 0.0000 0.5000 1
Hg1 Hg 0.0000 0.5000 0.2591 1
Hg2 Hg 0.0000 0.5000 0.7409 1
Hg3 Hg 0.5000 0.0000 0.2591 1
Hg4 Hg 0.5000 0.0000 0.7409 1
Hg5 Hg 0.5000 0.5000 0.0000 1
Hg6 Hg 0.5000 0.5000 0.5000 1
```

An optimized crystal structure of TlTe2Ir, computed with PBE-GGA.

## Properties
- D(E_F): 0.98 states/eV/atom
- E_form (uncorrected): 0.5924 eV per atom
- Offset from the most stable computed form: 818 meV per atom
- Energy: -15.141 eV per formula unit

The structure in CIF format:
```
data_TlTe2Ir
_chemical_formula_sum 'Tl1 Te2 Ir1'
_cell_length_a 5.1031
_cell_length_b 5.1031
_cell_length_c 5.1031
_cell_angle_alpha 60.00
_cell_angle_beta 60.00
_cell_angle_gamma 60.00
_space_group_name_H-M_alt 'P 1'
_space_group_IT_number 1
loop_
_space_group_symop_operation_xyz
'x,y,z'
loop_
_atom_site_label
_atom_site_type_symbol
_atom_site_fract_x
_atom_site_fract_y
_atom_site_fract_z
_atom_site_occupancy
Tl1 Tl 0.0000 0.0000 0.0000 1
Te1 Te 0.2500 0.2500 0.2500 1
Te2 Te 0.7500 0.7500 0.7500 1
Ir1 Ir 0.5000 0.5000 0.5000 1
```

An optimized crystal structure of ErInSn, computed with PBE-GGA.

## Properties
- Calculated formation energy: -27.3 kJ per mole of atoms
- D(E_F): 0.83 states/eV/atom
- Offset from the most stable computed form: 56 meV per atom
- Energy: -12.154 eV per formula unit

The structure in CIF format:
```
data_ErInSn
_chemical_formula_sum 'Er1 In1 Sn1'
_cell_length_a 6.1698
_cell_length_b 6.1698
_cell_length_c 6.1698
_cell_angle_alpha 144.53
_cell_angle_beta 144.53
_cell_angle_gamma 51.04
_space_group_name_H-M_alt 'P 1'
_space_group_IT_number 1
loop_
_space_group_symop_operation_xyz
'x,y,z'
loop_
_atom_site_label
_atom_site_type_symbol
_atom_site_fract_x
_atom_site_fract_y
_atom_site_fract_z
_atom_site_occupancy
Er1 Er 0.0000 0.0000 0.0000 1
In1 In 0.3242 0.3242 0.0000 1
Sn1 Sn 0.6760 0.6760 0.0000 1
```

An optimized crystal structure of Pr5Nd2Pb, computed with PBE-GGA.

## Properties
- Calculated formation energy: -12.2 kJ per mole of atoms
- D(E_F): 1.42 states/eV/atom
- Energy: -38.155 eV per formula unit

The structure in CIF format:
```
data_Pr5Nd2Pb
_chemical_formula_sum 'Pr5 Nd2 Pb1'
_cell_length_a 6.8879
_cell_length_b 6.8879
_cell_length_c 8.6286
_cell_angle_alpha 124.78
_cell_angle_beta 124.78
_cell_angle_gamma 64.37
_space_group_name_H-M_alt 'P 1'
_space_group_IT_number 1
loop_
_space_group_symop_operation_xyz
'x,y,z'
loop_
_atom_site_label
_atom_site_type_symbol
_atom_site_fract_x
_atom_site_fract_y
_atom_site_fract_z
_atom_site_occupancy
Pr1 Pr 0.0000 0.0000 0.0000 1
Pr2 Pr 0.0326 0.5322 0.5190 1
Pr3 Pr 0.1247 0.5901 0.1680 1
Pr4 Pr 0.5322 0.0326 0.5190 1
Pr5 Pr 0.5901 0.1247 0.1680 1
Nd1 Nd 0.1116 0.1116 0.6769 1
Nd2 Nd 0.5459 0.5459 0.0001 1
Pb1 Pb 0.5998 0.5998 0.6545 1
```

An optimized crystal structure of Pm3ZnNi2, computed with PBE-GGA.

## Properties
- Calculated formation energy: -21.1 kJ per mole of atoms
- D(E_F): 0.90 states/eV/atom
- Offset from the most stable computed form: 49 meV per atom
- Energy: -28.398 eV per formula unit

The structure in CIF format:
```
data_Pm3ZnNi2
_chemical_formula_sum 'Pm12 Zn4 Ni8'
_cell_length_a 8.2786
_cell_length_b 8.2786
_cell_length_c 9.1584
_cell_angle_alpha 90.00
_cell_angle_beta 90.00
_cell_angle_gamma 114.36
_space_group_name_H-M_alt 'P 1'
_space_group_IT_number 1
loop_
_space_group_symop_operation_xyz
'x,y,z'
loop_
_atom_site_label
_atom_site_type_symbol
_atom_site_fract_x
_atom_site_fract_y
_atom_site_fract_z
_atom_site_occupancy
Pm1 Pm 0.0904 0.3379 0.5486 1
Pm2 Pm 0.1621 0.4096 0.9514 1
Pm3 Pm 0.1631 0.8369 0.7806 1
Pm4 Pm 0.3369 0.6631 0.2806 1
Pm5 Pm 0.3379 0.0904 0.4514 1
Pm6 Pm 0.4096 0.1621 0.0486 1
Pm7 Pm 0.5904 0.8379 0.9514 1
Pm8 Pm 0.6621 0.9096 0.5486 1
Pm9 Pm 0.6631 0.3369 0.7194 1
Pm10 Pm 0.8369 0.1631 0.2194 1
Pm11 Pm 0.8379 0.5904 0.0486 1
Pm12 Pm 0.9096 0.6621 0.4514 1
Zn1 Zn 0.0504 0.9496 0.1837 1
Zn2 Zn 0.4496 0.5504 0.6837 1
Zn3 Zn 0.5504 0.4496 0.3163 1
Zn4 Zn 0.9496 0.0504 0.8163 1
Ni1 Ni 0.2171 0.2829 0.2500 1
Ni2 Ni 0.2168 0.7832 0.0566 1
Ni3 Ni 0.2829 0.2171 0.7500 1
Ni4 Ni 0.2832 0.7168 0.5566 1
Ni5 Ni 0.7168 0.2832 0.4434 1
Ni6 Ni 0.7171 0.7829 0.2500 1
Ni7 Ni 0.7832 0.2168 0.9434 1
Ni8 Ni 0.7829 0.7171 0.7500 1
```

An optimized crystal structure of Nd2InSb3Pt4, computed with PBE-GGA.

## Properties
- D(E_F): 0.30 states/eV/atom
- E_form (uncorrected): -0.8311 eV per atom
- Energy: -57.115 eV per formula unit

The structure in CIF format:
```
data_Nd2InSb3Pt4
_chemical_formula_sum 'Nd2 In1 Sb3 Pt4'
_cell_length_a 4.5176
_cell_length_b 4.5176
_cell_length_c 11.1148
_cell_angle_alpha 90.00
_cell_angle_beta 90.00
_cell_angle_gamma 90.00
_space_group_name_H-M_alt 'P 1'
_space_group_IT_number 1
loop_
_space_group_symop_operation_xyz
'x,y,z'
loop_
_atom_site_label
_atom_site_type_symbol
_atom_site_fract_x
_atom_site_fract_y
_atom_site_fract_z
_atom_site_occupancy
Nd1 Nd 0.0000 0.5000 0.2301 1
Nd2 Nd 0.5000 0.0000 0.7699 1
In1 In 0.0000 0.0000 0.5000 1
Sb1 Sb 0.0000 0.5000 0.8679 1
Sb2 Sb 0.5000 0.0000 0.1321 1
Sb3 Sb 0.5000 0.5000 0.5000 1
Pt1 Pt 0.0000 0.0000 0.0000 1
Pt2 Pt 0.0000 0.5000 0.6355 1
Pt3 Pt 0.5000 0.0000 0.3645 1
Pt4 Pt 0.5000 0.5000 0.0000 1
```

An optimized crystal structure of RbNpBr3, computed with PBE-GGA.

## Properties
- D(E_F): 3.51 states/eV/atom
- E_form (uncorrected): -1.2137 eV per atom
- Energy: -24.995 eV per formula unit

The structure in CIF format:
```
data_RbNpBr3
_chemical_formula_sum 'Rb1 Np1 Br3'
_cell_length_a 5.8103
_cell_length_b 5.8103
_cell_length_c 5.8103
_cell_angle_alpha 90.00
_cell_angle_beta 90.00
_cell_angle_gamma 90.00
_space_group_name_H-M_alt 'P 1'
_space_group_IT_number 1
loop_
_space_group_symop_operation_xyz
'x,y,z'
loop_
_atom_site_label
_atom_site_type_symbol
_atom_site_fract_x
_atom_site_fract_y
_atom_site_fract_z
_atom_site_occupancy
Rb1 Rb 0.0000 0.0000 0.0000 1
Np1 Np 0.5000 0.5000 0.5000 1
Br1 Br 0.0000 0.5000 0.5000 1
Br2 Br 0.5000 0.0000 0.5000 1
Br3 Br 0.5000 0.5000 0.0000 1
```